Below is an optimized crystal structure of BaGdFeCuO5, with properties calculated at the PBE+U level.

a b c (Å): 3.9131 3.9131 8.0041
angles (deg): 90.00 90.00 90.00
With the nearest neighbours (Å) after each atom.
Space group P4mm (No. 99)
Inequivalent atoms, fractional coordinates:
Ba 0.0000 0.0000 0.0000 (multiplicity 1)  8 O 2.81-2.93
Gd 0.0000 0.0000 0.4643 (multiplicity 1)  8 O 2.40-2.48
Fe 0.5000 0.5000 0.7072 (multiplicity 1)  5 O 1.87-2.03
Cu 0.5000 0.5000 0.2528 (multiplicity 1)  4 O 1.96
O 0.0000 0.5000 0.2730 (multiplicity 2)  2 Cu 1.96
O 0.0000 0.5000 0.6377 (multiplicity 2)  2 Fe 2.03
O 0.5000 0.5000 0.9404 (multiplicity 1)  1 Fe 1.87

Output
Spin magnetization = 1.315 μB per atom
Crystal system = tetragonal
Volume = 13.62 Å³/atom
Calculated total energy = -7.7401 eV/atom
D(E_F) = 1.2 states/eV/cell